1.
## LiSm2Lu (PBE-GGA)

Data for a relaxed structure of LiSm2Lu.

DFT formation energy, meV/atom: 147
Space group: Fm-3m (225)
M_tot, μB per cell: 0.007
E, eV/atom: -3.82
DOS(E_F), states/eV/cell: 4.200
Energy relative to the lowest polymorph listed for this composition, kJ/mol of atoms: 7.33

a = 5.5022 Å, b = 5.5022 Å, c = 5.5022 Å
α = 60.00°, β = 60.00°, γ = 60.00°
Last column: nearest neighbours and their distance in Å.
Element x y z (fractional)
Lu: 0.0000 0.0000 0.0000  8 Sm 3.37
Sm: 0.2500 0.2500 0.2500  4 Li 3.37, 4 Lu 3.37
Sm: 0.7500 0.7500 0.7500  4 Li 3.37, 4 Lu 3.37
Li: 0.5000 0.5000 0.5000  8 Sm 3.37

***

2.
## LiSm2Lu (PBE-GGA)

Data for a relaxed structure of LiSm2Lu.

DFT formation energy, meV/atom: 71
Space group: P4/mmm (123)
M_tot, μB per cell: 0.000
E, eV/atom: -3.90
DOS(E_F), states/eV/cell: 5.749
Energy relative to the lowest polymorph listed for this composition, kJ/mol of atoms: 0.00

a = 3.6264 Å, b = 3.6264 Å, c = 8.9369 Å
α = 90.00°, β = 90.00°, γ = 90.00°
Last column: nearest neighbours and their distance in Å.
Element x y z (fractional)
Lu: 0.5000 0.5000 0.5000  8 Sm 3.51, 4 Lu 3.63
Sm: 0.0000 0.0000 0.7688  4 Li 3.29, 4 Lu 3.51, 4 Sm 3.63
Sm: 0.0000 0.0000 0.2312  4 Li 3.29, 4 Lu 3.51, 4 Sm 3.63
Li: 0.5000 0.5000 0.0000  8 Sm 3.29, 4 Li 3.63

***

3.
## LiSmLu2 (PBE-GGA)

Data for a relaxed structure of LiSmLu2.

DFT formation energy, meV/atom: 199
Space group: P4/mmm (123)
M_tot, μB per cell: 0.009
E, eV/atom: -3.72
DOS(E_F), states/eV/cell: 5.632
Energy relative to the lowest polymorph listed for this composition, kJ/mol of atoms: 11.13

a = 3.7066 Å, b = 5.5445 Å, c = 5.5445 Å
α = 90.00°, β = 90.00°, γ = 90.00°
Last column: nearest neighbours and their distance in Å.
Element x y z (fractional)
Lu: 0.0000 0.0000 0.5000  4 Li 3.33, 4 Sm 3.33, 2 Lu 3.71
Lu: 0.0000 0.5000 0.0000  4 Li 3.33, 4 Sm 3.33, 2 Lu 3.71
Sm: 0.5000 0.0000 0.0000  8 Lu 3.33, 2 Sm 3.71
Li: 0.5000 0.5000 0.5000  8 Lu 3.33, 2 Li 3.71

***

4.
## LiSmLu2 (PBE-GGA)

Data for a relaxed structure of LiSmLu2.

DFT formation energy, meV/atom: 209
Space group: R-3m (166)
M_tot, μB per cell: 0.000
E, eV/atom: -3.71
DOS(E_F), states/eV/cell: 5.363
Energy relative to the lowest polymorph listed for this composition, kJ/mol of atoms: 12.03

a = 3.4351 Å, b = 3.4351 Å, c = 12.1398 Å
α = 81.87°, β = 81.87°, γ = 60.00°
Last column: nearest neighbours and their distance in Å.
Element x y z (fractional)
Lu: 0.0879 0.0879 0.7362  1 Li 3.16, 6 Lu 3.44, 3 Sm 3.45
Lu: 0.9121 0.9121 0.2638  1 Li 3.16, 6 Lu 3.44, 3 Sm 3.45
Sm: 0.5000 0.5000 0.5000  6 Sm 3.44, 6 Lu 3.45
Li: 0.0000 0.0000 0.0000  2 Lu 3.16, 6 Li 3.44

***

The highest energy relative to the lowest polymorph listed for this composition belongs to which entry? number 4

***

Which formula does entry 1 have? LiSm2Lu

***

What is the DFT formation energy in the fourth record? 209 meV/atom

***

The lowest DOS(E_F) belongs to which entry? number 1